Entry 1:
TeOsRu2 | GGA-PBE | relaxed

The space group is F-43m (No. 216) and the conventional cell measures 6.3498, 6.3498 and 6.3498 Å, with angles of 90.00, 90.00 and 90.00 degrees. Symmetry generates all atoms from Te at (0.0000, 0.0000, 0.0000), Os at (0.2500, 0.2500, 0.2500), Ru at (0.0000, 0.0000, 0.5000) and Ru at (0.2500, 0.2500, 0.7500).

Its crystal system is cubic. As for the energy: -7.5287 eV/atom. The formation energy from raw total energies comes out at 0.70 eV/atom. The value obtained for the calculated density is 13490 kg/m3. The volume comes out at 256.0 Å³/cell.


Entry 2:
KFeRu | GGA-PBE | relaxed

The space group is P3m1 (No. 156) and the conventional cell measures 2.8347, 2.8347 and 7.7717 Å, with angles of 90.00, 90.00 and 120.00 degrees. Symmetry generates all atoms from K at (0.0000, 0.0000, 0.0000), Fe at (0.3333, 0.6667, 0.6163) and Ru at (0.6667, 0.3333, 0.3716).

Its crystal system is trigonal. As for the energy: -5.3087 eV/atom. As for the energy above the most stable polymorph in this dataset: 180 meV per atom. The value obtained for the calculated density is 6018 kg/m3. The volume comes out at 54.1 Å³/cell. Its energy of formation from the pure elements is 0.970 eV per atom.


Entry 3:
Ca4BeAg | GGA-PBE | relaxed

The space group is F-43m (No. 216) and the conventional cell measures 9.2608, 9.2608 and 9.2608 Å, with angles of 90.00, 90.00 and 90.00 degrees. Symmetry generates all atoms from Ca at (0.1252, 0.1252, 0.1252), Be at (0.0000, 0.0000, 0.5000) and Ag at (0.2500, 0.2500, 0.7500).

Its crystal system is cubic. As for the energy: -1.6757 eV/atom. The value obtained for the calculated density is 2318 kg/m3. The volume comes out at 794.2 Å³/cell. Its energy of formation from the pure elements is 0.755 eV per atom.